1.
## Tc2RhW (GGA-PBE)

Data for an optimized crystal structure of Tc2RhW.

Geometry as POSCAR:
```
Tc2RhW
1.0
2.745 0.000 0.000
0.000 2.745 0.000
0.000 0.000 7.925
Tc Rh W
2 1 1
Cartesian
0.000 0.000 1.940
0.000 0.000 5.986
1.372 1.372 0.000
1.372 1.372 3.963
```

Output
As for the relative energy among the computed polymorphs: 0.130 eV per atom. Its crystal system is tetragonal. The calculation puts the calculated density at 13.43 g cm⁻³.

2.
## TcRhW (GGA-PBE)

Data for an optimized crystal structure of TcRhW.

Geometry as POSCAR:
```
TcRhW
1.0
-1.349 1.986 4.196
1.349 -1.986 4.196
1.349 1.986 -4.196
Tc Rh W
1 1 1
Cartesian
0.000 0.000 0.000
0.000 0.000 2.811
0.000 0.000 5.600
```

Output
As for the relative energy among the computed polymorphs: 0.016 eV per atom. Its crystal system is orthorhombic. The calculation puts the calculated density at 14.21 g cm⁻³.

3.
## TcRh2W (GGA-PBE)

Data for an optimized crystal structure of TcRh2W.

Geometry as POSCAR:
```
TcRh2W
1.0
3.851 0.000 0.000
0.000 3.851 0.000
0.000 0.000 3.939
Tc Rh W
1 2 1
Cartesian
0.000 0.000 0.000
0.000 1.925 1.969
1.925 0.000 1.969
1.925 1.925 0.000
```

Output
As for the relative energy among the computed polymorphs: 0.033 eV per atom. Its crystal system is tetragonal. The calculation puts the calculated density at 13.86 g cm⁻³.

4.
## Tc2RhW (GGA-PBE)

Data for an optimized crystal structure of Tc2RhW.

Geometry as POSCAR:
```
Tc2RhW
1.0
1.375 0.794 9.123
-1.375 0.794 9.123
0.000 -1.588 9.123
Tc Rh W
2 1 1
Cartesian
0.000 0.000 6.783
0.000 0.000 20.585
0.000 0.000 13.684
0.000 0.000 0.000
```

Output
As for the relative energy among the computed polymorphs: 0.163 eV per atom. Its crystal system is trigonal. The calculation puts the calculated density at 13.41 g cm⁻³.

5.
## TcRhW (GGA-PBE)

Data for an optimized crystal structure of TcRhW.

Geometry as POSCAR:
```
TcRhW
1.0
-1.375 1.375 5.925
1.375 -1.375 5.925
1.375 1.375 -5.925
Tc Rh W
1 1 1
Cartesian
0.000 0.000 0.000
0.000 0.000 4.021
0.000 0.000 7.949
```

Output
As for the relative energy among the computed polymorphs: 0.000 eV per atom. Its crystal system is tetragonal. The calculation puts the calculated density at 14.25 g cm⁻³.

6.
## TcRh2W (GGA-PBE)

Data for an optimized crystal structure of TcRh2W.

Geometry as POSCAR:
```
TcRh2W
1.0
2.746 0.000 0.000
0.000 4.405 0.000
0.000 0.000 4.825
Tc Rh W
1 2 1
Cartesian
0.000 0.000 0.000
1.373 0.000 2.403
1.373 2.203 0.768
0.000 2.203 3.223
```

Output
As for the relative energy among the computed polymorphs: 0.000 eV per atom. Its crystal system is orthorhombic. The calculation puts the calculated density at 13.88 g cm⁻³.

7.
## TcRh3W (GGA-PBE)

Data for an optimized crystal structure of TcRh3W.

Geometry as POSCAR:
```
TcRh3W
1.0
4.576 0.000 0.000
0.000 4.576 0.000
0.000 0.000 4.576
Tc Rh W
1 3 1
Cartesian
0.000 0.000 0.000
0.000 0.000 2.288
0.000 2.288 0.000
2.288 0.000 0.000
2.288 2.288 2.288
```

Output
As for the relative energy among the computed polymorphs: 1.988 eV per atom. Its crystal system is cubic. The calculation puts the calculated density at 10.23 g cm⁻³.

8.
## TcRh2W (GGA-PBE)

Data for an optimized crystal structure of TcRh2W.

Geometry as POSCAR:
```
TcRh2W
1.0
4.586 -1.381 0.000
4.586 1.381 0.000
-0.843 0.000 4.648
Tc Rh W
1 2 1
Cartesian
0.000 0.000 0.000
1.664 0.000 3.494
6.665 0.000 1.154
4.164 0.000 2.324
```

Output
As for the relative energy among the computed polymorphs: 0.160 eV per atom. Its crystal system is monoclinic. The calculation puts the calculated density at 13.75 g cm⁻³.

9.
## Tc2RhW (GGA-PBE)

Data for an optimized crystal structure of Tc2RhW.

Geometry as POSCAR:
```
Tc2RhW
1.0
2.760 0.000 0.000
0.000 3.883 0.000
0.000 0.000 5.566
Tc Rh W
2 1 1
Cartesian
0.000 0.000 1.376
0.000 0.000 4.190
1.380 1.941 0.000
1.380 1.941 2.783
```

Output
As for the relative energy among the computed polymorphs: 0.122 eV per atom. Its crystal system is orthorhombic. The calculation puts the calculated density at 13.44 g cm⁻³.

10.
## Tc3RhW (GGA-PBE)

Data for an optimized crystal structure of Tc3RhW.

Geometry as POSCAR:
```
Tc3RhW
1.0
4.632 0.000 0.000
0.000 4.632 0.000
0.000 0.000 4.632
Tc Rh W
3 1 1
Cartesian
0.000 0.000 2.316
0.000 2.316 0.000
2.316 0.000 0.000
2.316 2.316 2.316
0.000 0.000 0.000
```

Output
As for the relative energy among the computed polymorphs: 0.000 eV per atom. Its crystal system is cubic. The calculation puts the calculated density at 9.71 g cm⁻³.

11.
## TcRh2W (GGA-PBE)

Data for an optimized crystal structure of TcRh2W.

Geometry as POSCAR:
```
TcRh2W
1.0
1.377 0.795 8.970
-1.377 0.795 8.970
0.000 -1.590 8.970
Tc Rh W
1 2 1
Cartesian
0.000 0.000 0.000
0.000 0.000 6.755
0.000 0.000 20.155
0.000 0.000 13.455
```

Output
As for the relative energy among the computed polymorphs: 0.182 eV per atom. Its crystal system is trigonal. The calculation puts the calculated density at 13.74 g cm⁻³.

12.
## TcRh2W (GGA-PBE)

Data for an optimized crystal structure of TcRh2W.

Geometry as POSCAR:
```
TcRh2W
1.0
2.742 0.000 0.000
0.000 2.742 0.000
0.000 0.000 7.891
Tc Rh W
1 2 1
Cartesian
0.000 0.000 0.000
0.000 0.000 3.996
1.371 1.371 6.078
1.371 1.371 2.137
```

Output
As for the relative energy among the computed polymorphs: 0.131 eV per atom. Its crystal system is tetragonal. The calculation puts the calculated density at 13.65 g cm⁻³.

13.
## TcRh3W (GGA-PBE)

Data for an optimized crystal structure of TcRh3W.

Geometry as POSCAR:
```
TcRh3W
1.0
2.370 -6.853 0.000
2.370 6.853 0.000
-1.603 0.000 4.474
Tc Rh W
2 6 2
Cartesian
1.168 4.828 3.356
1.970 -4.828 1.119
1.970 6.127 1.119
1.970 3.441 1.119
1.970 0.733 1.119
1.168 -0.733 3.356
1.168 -3.441 3.356
1.168 -6.127 3.356
1.168 2.058 3.356
1.970 -2.058 1.119
```

Output
As for the relative energy among the computed polymorphs: 0.000 eV per atom. Its crystal system is monoclinic. The calculation puts the calculated density at 13.49 g cm⁻³.

14.
## TcRhW (GGA-PBE)

Data for an optimized crystal structure of TcRhW.

Geometry as POSCAR:
```
TcRhW
1.0
0.000 2.979 2.979
2.979 0.000 2.979
2.979 2.979 0.000
Tc Rh W
1 1 1
Cartesian
0.000 0.000 0.000
2.979 2.979 2.979
4.468 4.468 4.468
```

Output
As for the relative energy among the computed polymorphs: 0.482 eV per atom. Its crystal system is cubic. The calculation puts the calculated density at 12.09 g cm⁻³.

15.
## TcRh2W (GGA-PBE)

Data for an optimized crystal structure of TcRh2W.

Geometry as POSCAR:
```
TcRh2W
1.0
4.532 -1.365 0.000
4.532 1.365 0.000
-0.812 0.000 4.759
Tc Rh W
1 2 1
Cartesian
0.000 0.000 0.000
4.152 0.000 2.334
6.591 0.000 1.028
1.675 0.000 3.416
```

Output
As for the relative energy among the computed polymorphs: 0.113 eV per atom. Its crystal system is monoclinic. The calculation puts the calculated density at 13.75 g cm⁻³.

16.
## TcRh2W (GGA-PBE)

Data for an optimized crystal structure of TcRh2W.

Geometry as POSCAR:
```
TcRh2W
1.0
-1.966 1.966 3.800
1.966 -1.966 3.800
1.966 1.966 -3.800
Tc Rh W
1 2 1
Cartesian
0.000 0.000 0.000
1.966 0.000 1.900
0.000 0.000 3.800
0.000 1.966 1.900
```

Output
As for the relative energy among the computed polymorphs: 0.116 eV per atom. Its crystal system is tetragonal. The calculation puts the calculated density at 13.79 g cm⁻³.

17.
## Tc2RhW (GGA-PBE)

Data for an optimized crystal structure of Tc2RhW.

Geometry as POSCAR:
```
Tc2RhW
1.0
3.265 0.000 0.000
0.000 3.265 0.000
0.000 0.000 5.665
Tc Rh W
2 1 1
Cartesian
0.000 0.000 0.000
1.633 1.633 1.301
1.633 1.633 4.116
0.000 0.000 2.853
```

Output
As for the relative energy among the computed polymorphs: 0.227 eV per atom. Its crystal system is tetragonal. The calculation puts the calculated density at 13.27 g cm⁻³.

18.
## TcRh2W (GGA-PBE)

Data for an optimized crystal structure of TcRh2W.

Geometry as POSCAR:
```
TcRh2W
1.0
2.725 0.000 0.000
0.000 2.725 0.000
0.000 0.000 7.886
Tc Rh W
1 2 1
Cartesian
0.000 0.000 0.000
1.363 1.363 1.952
1.363 1.363 5.935
0.000 0.000 3.943
```

Output
As for the relative energy among the computed polymorphs: 0.103 eV per atom. Its crystal system is tetragonal. The calculation puts the calculated density at 13.82 g cm⁻³.

19.
## TcRh2W (GGA-PBE)

Data for an optimized crystal structure of TcRh2W.

Geometry as POSCAR:
```
TcRh2W
1.0
2.719 -3.939 0.000
2.719 3.939 0.000
0.000 0.000 2.732
Tc Rh W
1 2 1
Cartesian
0.000 0.000 0.000
1.360 1.969 1.366
1.360 -1.969 1.366
2.719 0.000 0.000
```

Output
As for the relative energy among the computed polymorphs: 0.070 eV per atom. Its crystal system is orthorhombic. The calculation puts the calculated density at 13.84 g cm⁻³.

20.
## Tc2RhW (GGA-PBE)

Data for an optimized crystal structure of Tc2RhW.

Geometry as POSCAR:
```
Tc2RhW
1.0
2.206 1.274 3.614
-2.206 1.274 3.614
0.000 -2.548 3.614
Tc Rh W
2 1 1
Cartesian
0.000 0.000 0.000
0.000 0.000 2.564
0.000 0.000 7.808
0.000 0.000 5.276
```

Output
As for the relative energy among the computed polymorphs: 0.336 eV per atom. Its crystal system is trigonal. The calculation puts the calculated density at 13.16 g cm⁻³.